# 1
First-principles (GGA-PBE) data for a relaxed structure of Ti6Co5, as listed in the Alexandria database.

Structure (CIF):
```
data_Ti6Co5
_chemical_formula_sum 'Ti12 Co10'
_cell_length_a 4.1529
_cell_length_b 12.4124
_cell_length_c 5.9275
_cell_angle_alpha 90.00
_cell_angle_beta 90.00
_cell_angle_gamma 90.00
_space_group_name_H-M_alt 'C m m m'
_space_group_IT_number 65
_space_group_name_Hall '-C 2 2'
loop_
_atom_site_label
_atom_site_type_symbol
_atom_site_fract_x
_atom_site_fract_y
_atom_site_fract_z
Ti1 Ti 0.0000 0.0000 0.2403
Ti2 Ti 0.0000 0.3383 0.2463
Co1 Co 0.0000 0.1693 0.5000
Co2 Co 0.0000 0.1705 0.0000
Co3 Co 0.0000 0.5000 0.5000
```

---

# 2
First-principles (GGA-PBE) data for a relaxed structure of Pr2Tm3ThBi6, as listed in the Alexandria database.

Structure (CIF):
```
data_Pr2Tm3ThBi6
_chemical_formula_sum 'Pr4 Tm6 Th2 Bi12'
_cell_length_a 19.6998
_cell_length_b 4.5379
_cell_length_c 9.0536
_cell_angle_alpha 90.00
_cell_angle_beta 102.91
_cell_angle_gamma 90.00
_space_group_name_H-M_alt 'C 1 2/m 1'
_space_group_IT_number 12
loop_
_space_group_symop_operation_xyz
'x,y,z'
'-x,-y,-z'
'-x,y,-z'
'x,-y,z'
'x+1/2,y+1/2,z'
'-x+1/2,-y+1/2,-z'
'-x+1/2,y+1/2,-z'
'x+1/2,-y+1/2,z'
loop_
_atom_site_label
_atom_site_type_symbol
_atom_site_fract_x
_atom_site_fract_y
_atom_site_fract_z
Pr1 Pr 0.1674 0.0000 0.3358
Tm1 Tm 0.0000 0.5000 0.5000
Tm2 Tm 0.1679 0.0000 0.8331
Th1 Th 0.0000 0.5000 0.0000
Bi1 Bi 0.0032 0.0000 0.7442
Bi2 Bi 0.1632 0.5000 0.5919
Bi3 Bi 0.1687 0.5000 0.0751
```

---

Result set for V: 13.9; 32.9 A^3/atom, one per record in the order listed.
Result set for raw total energy: -7.8435; -5.2841 eV per atom, one per record in the order listed.
Result set for formation enthalpy at 0 K: -0.307; -0.811 eV per atom, one per record in the order listed.